No. 1
Here is crystalline CrAsW2 at its relaxed geometry from Alexandria via LeMat-Bulk. Energies are from PBE-GGA.

Unit cell a=3.080 b=3.080 c=6.223 alpha=90.00 beta=90.00 gamma=90.00
Sites, in units of the cell vectors:
1 Cr 0.000 0.000 0.000
2 As 0.000 0.000 0.500
3 W 0.500 0.500 0.243
4 W 0.500 0.500 0.757

Results
- Magnetization: 0.00 μB per formula unit
- ΔH_f (0 K): 0.3433 eV/atom
- Space group: P4/mmm, No. 123

***

No. 2
Here is crystalline CrAs2W at its relaxed geometry from Alexandria via LeMat-Bulk. Energies are from PBE-GGA.

Unit cell a=3.258 b=4.660 c=4.731 alpha=90.00 beta=109.67 gamma=90.00
Sites, in units of the cell vectors:
1 Cr 0.000 0.000 0.000
2 As 0.694 0.000 0.402
3 As 0.879 0.500 0.729
4 W 0.579 0.500 0.142

Results
- Magnetization: 1.10 μB per formula unit
- ΔH_f (0 K): 0.1686 eV/atom
- Space group: Pm, No. 6

***

No. 3
Here is crystalline CrAsW2 at its relaxed geometry from Alexandria via LeMat-Bulk. Energies are from PBE-GGA.

Unit cell a=5.151 b=5.151 c=5.151 alpha=144.56 beta=132.02 gamma=61.05
Sites, in units of the cell vectors:
1 Cr 0.000 0.000 0.000
2 As 0.772 0.272 0.500
3 W 0.247 0.747 0.500
4 W 0.510 0.510 0.000

Results
- Magnetization: 0.00 μB per formula unit
- ΔH_f (0 K): 0.2503 eV/atom
- Space group: Imm2, No. 44